(1)
Computed, not measured: a relaxed Y2Mg2Cu crystal at the PBE level of DFT.

Cell lengths 4.9746, 3.9124, 12.5041 Å; angles 90.00, 90.08, 90.00 degrees
Last column: nearest neighbours and their distance in Å.
Space group P2_1 (No. 4)
Inequivalent atoms, fractional coordinates:
Y: 0.2493 0.0000 0.0861 (multiplicity 2)  1 Cu 2.80
Y: 0.2493 0.4991 0.7041 (multiplicity 2)  2 Cu 2.78
Mg: 0.2511 0.4994 0.3028 (multiplicity 2)  2 Mg 3.06, 6 Y 3.16-3.34, 2 Cu 3.22-3.24
Mg: 0.2507 0.9992 0.4911 (multiplicity 2)  6 Mg 3.06-3.18, 2 Y 3.30
Cu: 0.2465 0.9984 0.8620 (multiplicity 2)  3 Y 2.78-2.80

Magnetic moment, μB per atom: 0.00
Excess energy over the best structure of this formula in the dataset, eV/atom: 0.0115
Formation enthalpy at 0 K, eV/atom: -0.101
D(E_F), states/eV per cell: 7.955

---

(2)
Computed, not measured: a relaxed Y2MgCu4 crystal at the PBE level of DFT.

Cell lengths 4.7506, 4.7506, 20.0510 Å; angles 90.00, 90.00, 120.00 degrees
Last column: nearest neighbours and their distance in Å.
Space group R-3m (No. 166, hexagonal axes)
Inequivalent atoms, fractional coordinates:
Y: 0.0000 0.0000 0.2346 (multiplicity 6)  7 Cu 2.73-3.01
Mg: 0.0000 0.0000 0.5000 (multiplicity 3)  2 Cu 2.59
Cu: 0.0000 0.0000 0.0619 (multiplicity 6)  1 Cu 2.48
Cu: 0.0000 0.0000 0.3708 (multiplicity 6)  1 Mg 2.59, 1 Y 2.73, 3 Cu 2.79

Magnetic moment, μB per atom: 0.00
Excess energy over the best structure of this formula in the dataset, eV/atom: 0.1646
Formation enthalpy at 0 K, eV/atom: -0.002
D(E_F), states/eV per cell: 20.353

---

(3)
Computed, not measured: a relaxed Y4MgCu crystal at the PBE level of DFT.

Cell lengths 10.9600, 3.3858, 8.9736 Å; angles 90.00, 90.00, 90.00 degrees
Last column: nearest neighbours and their distance in Å.
Space group Pmma (No. 51)
Inequivalent atoms, fractional coordinates:
Y: 0.0000 0.0000 0.0000 (multiplicity 2)  2 Mg 3.01
Y: 0.0624 0.5000 0.3408 (multiplicity 4)  2 Cu 3.01, 1 Y 3.17, 2 Mg 3.22
Y: 0.2500 0.5000 0.7795 (multiplicity 2)  2 Cu 3.06, 2 Y 3.39
Mg: 0.2500 0.0000 0.1384 (multiplicity 2)  6 Y 3.01-3.22, 1 Cu 3.21
Cu: 0.2500 0.0000 0.4960 (multiplicity 2)  6 Y 3.01-3.06, 1 Mg 3.21

Magnetic moment, μB per atom: 0.00
Excess energy over the best structure of this formula in the dataset, eV/atom: 0.2297
Formation enthalpy at 0 K, eV/atom: 0.112
D(E_F), states/eV per cell: 19.290

---

(4)
Computed, not measured: a relaxed YMg4Cu2 crystal at the PBE level of DFT.

Cell lengths 4.8151, 4.8151, 20.8196 Å; angles 90.00, 90.00, 120.00 degrees
Last column: nearest neighbours and their distance in Å.
Space group R-3m (No. 166, hexagonal axes)
Inequivalent atoms, fractional coordinates:
Y: 0.0000 0.0000 0.0000 (multiplicity 3)  6 Cu 3.00, 8 Mg 3.19-3.28
Mg: 0.0000 0.0000 0.1530 (multiplicity 6)  1 Cu 2.64, 3 Mg 2.84
Mg: 0.0000 0.0000 0.4173 (multiplicity 6)  4 Cu 2.85-2.87, 3 Mg 3.13
Cu: 0.0000 0.0000 0.2796 (multiplicity 6)  5 Mg 2.64-2.87

Magnetic moment, μB per atom: 0.00
Excess energy over the best structure of this formula in the dataset, eV/atom: 0.0193
Formation enthalpy at 0 K, eV/atom: -0.102
D(E_F), states/eV per cell: 8.137

---

(5)
Computed, not measured: a relaxed Y2MgCu4 crystal at the PBE level of DFT.

Cell lengths 5.5162, 5.5162, 10.2041 Å; angles 90.00, 90.00, 90.00 degrees
Last column: nearest neighbours and their distance in Å.
Space group I4/mmm (No. 139)
Inequivalent atoms, fractional coordinates:
Y: 0.0000 0.5000 0.2500 (multiplicity 4)  4 Cu 2.80
Mg: 0.0000 0.0000 0.0000 (multiplicity 2)  8 Cu 2.99
Cu: 0.0000 0.2917 0.5000 (multiplicity 8)  3 Cu 2.28-2.30

Magnetic moment, μB per atom: 0.00
Excess energy over the best structure of this formula in the dataset, eV/atom: 0.3336
Formation enthalpy at 0 K, eV/atom: 0.167
D(E_F), states/eV per cell: 9.735

---

(6)
Computed, not measured: a relaxed Y2Mg3Cu4 crystal at the PBE level of DFT.

Cell lengths 15.3824, 4.2571, 5.4634 Å; angles 90.00, 100.52, 90.00 degrees
Last column: nearest neighbours and their distance in Å.
Space group C2/m (No. 12)
Inequivalent atoms, fractional coordinates:
Y: 0.1659 0.0000 0.0919 (multiplicity 4)  6 Cu 2.90-2.95
Mg: 0.0000 0.5000 0.0000 (multiplicity 2)  4 Cu 2.63
Mg: 0.1076 0.5000 0.5625 (multiplicity 4)  7 Cu 2.79-2.96
Cu: 0.0013 0.0000 0.7180 (multiplicity 4)  1 Cu 2.37, 2 Mg 2.63
Cu: 0.2348 0.0000 0.6217 (multiplicity 4)  2 Cu 2.60, 3 Mg 2.79-2.87, 3 Y 2.90-2.91

Magnetic moment, μB per atom: 0.00
Formation enthalpy at 0 K, eV/atom: -0.173
D(E_F), states/eV per cell: 9.461

---

Question: What is the formation enthalpy at 0 K in the fourth record?
Answer: -0.102 eV/atom

---

What did the second record say?
Computed, not measured: a relaxed Y2MgCu4 crystal at the PBE level of DFT.

Cell lengths 4.7506, 4.7506, 20.0510 Å; angles 90.00, 90.00, 120.00 degrees
Last column: nearest neighbours and their distance in Å.
Space group R-3m (No. 166, hexagonal axes)
Inequivalent atoms, fractional coordinates:
Y: 0.0000 0.0000 0.2346 (multiplicity 6)  7 Cu 2.73-3.01
Mg: 0.0000 0.0000 0.5000 (multiplicity 3)  2 Cu 2.59
Cu: 0.0000 0.0000 0.0619 (multiplicity 6)  1 Cu 2.48
Cu: 0.0000 0.0000 0.3708 (multiplicity 6)  1 Mg 2.59, 1 Y 2.73, 3 Cu 2.79

Magnetic moment, μB per atom: 0.00
Excess energy over the best structure of this formula in the dataset, eV/atom: 0.1646
Formation enthalpy at 0 K, eV/atom: -0.002
D(E_F), states/eV per cell: 20.353